<A>
A plane-wave DFT calculation with PBE was carried out for a relaxed structure of Na2Tl6Sn.

a b c (Å): 3.390 8.348 9.915
angles (deg): 79.09 80.16 78.29
Element x y z (fractional)
Tl 0.383 0.682 0.551
Tl 0.950 0.342 0.757
Sn 0.000 0.000 0.000
Tl 0.050 0.658 0.243
Na 0.341 0.019 0.298
Tl 0.617 0.318 0.449
Tl 0.770 0.352 0.109
Tl 0.230 0.648 0.891
Na 0.659 0.981 0.702

Calculated values
space group	No. 12
magnetization	0.00	Bohr magnetons per cell
density of states at the Fermi level	2.90	states/eV/cell

<B>
A plane-wave DFT calculation with PBE was carried out for a relaxed structure of Na2Tl6Sn.

a b c (Å): 4.730 10.503 10.504
angles (deg): 90.00 90.00 90.00
Element x y z (fractional)
Na 0.500 0.167 0.333
Sn 0.500 0.500 0.000
Tl 0.000 0.341 0.159
Na 0.000 0.667 0.167
Tl 0.000 0.670 0.499
Tl 0.000 0.330 0.501
Tl 0.000 0.999 0.170
Na 0.000 0.333 0.833
Tl 0.500 0.159 0.659
Tl 0.000 0.001 0.830
Tl 0.500 0.830 0.999
Tl 0.500 0.501 0.670
Tl 0.500 0.170 0.001
Tl 0.500 0.499 0.330
Tl 0.000 0.659 0.841
Sn 0.000 0.000 0.500
Tl 0.500 0.841 0.341
Na 0.500 0.833 0.667

Calculated values
space group	No. 136
magnetization	0.00	Bohr magnetons per cell
density of states at the Fermi level	7.74	states/eV/cell

<B> (32 meV per atom below the next structure)

<A>
A plane-wave DFT calculation with PBE was carried out for a relaxed structure of Na3SnW.

a b c (Å): 5.755 5.755 5.755
angles (deg): 90.00 90.00 90.00
Each line ends with the local moment (μB).
Element x y z (fractional)
Na 0.000 0.000 0.500  -0.02
W 0.500 0.500 0.500  3.47
Na 0.500 0.000 0.000  0.00
Sn 0.000 0.000 0.000  -0.29
Na 0.000 0.500 0.000  -0.01

Calculated values
space group	No. 221
magnetization	4.37	Bohr magnetons per cell
density of states at the Fermi level	2.80	states/eV/cell

<B>
A plane-wave DFT calculation with PBE was carried out for a relaxed structure of Na3SnW.

a b c (Å): 5.734 5.734 5.734
angles (deg): 90.00 90.00 90.00
Each line ends with the local moment (μB).
Element x y z (fractional)
Na 0.000 0.500 0.000  0.03
W 0.000 0.000 0.000  3.35
Na 0.000 0.000 0.500  0.02
Sn 0.500 0.500 0.500  -0.26
Na 0.500 0.000 0.000  0.04

Calculated values
space group	No. 221
magnetization	4.24	Bohr magnetons per cell
density of states at the Fermi level	3.13	states/eV/cell

<A> (60 meV per atom below the next structure)

<A>
A plane-wave DFT calculation with PBE was carried out for a relaxed structure of NaSn2W.

a b c (Å): 4.908 4.908 4.908
angles (deg): 60.00 60.00 60.00
Each line ends with the local moment (μB).
Element x y z (fractional)
W 0.500 0.500 0.500  1.26
Na 0.000 0.000 0.000  0.00
Sn 0.750 0.750 0.750  -0.01
Sn 0.250 0.250 0.250  -0.01

Calculated values
space group	No. 225
magnetization	1.75	Bohr magnetons per cell
density of states at the Fermi level	3.81	states/eV/cell

<B>
A plane-wave DFT calculation with PBE was carried out for a relaxed structure of NaSn2W.

a b c (Å): 5.858 5.858 9.433
angles (deg): 71.91 71.91 90.00
Each line ends with the local moment (μB).
Element x y z (fractional)
W 0.750 0.250 0.500  0.88
Sn 0.875 0.031 0.750  -0.04
W 0.000 0.000 0.000  0.89
Sn 0.969 0.625 0.250  -0.06
Sn 0.781 0.125 0.250  -0.06
Na 0.250 0.750 0.500  -0.01
Na 0.500 0.500 0.000  -0.01
Sn 0.375 0.219 0.750  -0.05

Calculated values
space group	No. 122
magnetization	2.00	Bohr magnetons per cell
density of states at the Fermi level	1.55	states/eV/cell

<A> (309 meV per atom below the next structure)

<A>
A plane-wave DFT calculation with PBE was carried out for a relaxed structure of NaYSn.

a b c (Å): 7.620 4.656 9.442
angles (deg): 90.00 90.00 90.00
Element x y z (fractional)
Sn 0.276 0.250 0.362
Sn 0.724 0.750 0.638
Sn 0.224 0.750 0.862
Na 0.633 0.750 0.952
Na 0.867 0.250 0.452
Y 0.554 0.750 0.326
Y 0.054 0.750 0.174
Y 0.446 0.250 0.674
Na 0.367 0.250 0.048
Y 0.946 0.250 0.826
Na 0.133 0.750 0.548
Sn 0.776 0.250 0.138

Calculated values
space group	No. 62
magnetization	0.00	Bohr magnetons per cell
density of states at the Fermi level	0.07	states/eV/cell

<B>
A plane-wave DFT calculation with PBE was carried out for a relaxed structure of NaYSn.

a b c (Å): 5.321 5.321 7.381
angles (deg): 90.00 90.00 90.00
Element x y z (fractional)
Y 0.500 0.500 0.500
Sn 0.500 0.000 0.281
Sn 0.000 0.500 0.719
Na 0.000 0.000 0.000
Na 0.500 0.500 0.000
Y 0.000 0.000 0.500

Calculated values
space group	No. 129
magnetization	0.00	Bohr magnetons per cell
density of states at the Fermi level	0.00	states/eV/cell

<A> (97 meV per atom below the next structure)

<A>
A plane-wave DFT calculation with PBE was carried out for a relaxed structure of NaYSn.

a b c (Å): 5.411 5.411 6.403
angles (deg): 90.00 90.00 120.00
Element x y z (fractional)
Sn 0.333 0.667 0.250
Na 0.000 0.000 0.000
Y 0.333 0.667 0.750
Sn 0.667 0.333 0.750
Na 0.000 0.000 0.500
Y 0.667 0.333 0.250

Calculated values
space group	No. 194
magnetization	0.00	Bohr magnetons per cell
density of states at the Fermi level	0.66	states/eV/cell

<B>
A plane-wave DFT calculation with PBE was carried out for a relaxed structure of NaYSn.

a b c (Å): 5.376 5.376 3.612
angles (deg): 90.00 90.00 120.00
Element x y z (fractional)
Y 0.000 0.000 0.000
Sn 0.333 0.667 0.000
Na 0.667 0.333 0.500

Calculated values
space group	No. 187
magnetization	0.00	Bohr magnetons per cell
density of states at the Fermi level	0.79	states/eV/cell

<A> (364 meV per atom below the next structure)

<A>
A plane-wave DFT calculation with PBE was carried out for a relaxed structure of NaYSn.

a b c (Å): 5.923 5.923 11.610
angles (deg): 90.00 90.00 120.00
Element x y z (fractional)
Y 0.000 0.000 0.750
Sn 0.000 0.000 0.000
Na 0.667 0.333 0.750
Na 0.333 0.667 0.250
Sn 0.000 0.000 0.500
Y 0.000 0.000 0.250

Calculated values
space group	No. 194
magnetization	0.00	Bohr magnetons per cell
density of states at the Fermi level	10.12	states/eV/cell

<B>
A plane-wave DFT calculation with PBE was carried out for a relaxed structure of NaYSn.

a b c (Å): 3.500 5.146 5.146
angles (deg): 120.00 90.00 90.00
Element x y z (fractional)
Y 0.340 0.333 0.667
Sn 0.776 0.667 0.333
Na 0.884 0.000 0.000

Calculated values
space group	No. 156
magnetization	0.00	Bohr magnetons per cell
density of states at the Fermi level	1.24	states/eV/cell

<B> (1270 meV per atom below the next structure)